(1)
Computed, not measured: an optimized crystal structure of GdThSn2 at the PBE-GGA level of DFT.

Computed properties:
VASP energy   -7.86 eV/atom
Calculated formation energy   -1.9 eV per formula unit
Volume   28.544 Å³ per atom

a = 5.445 Å, b = 5.445 Å, c = 5.445 Å
α = 60.00°, β = 60.00°, γ = 60.00°
Positions (direct):
Gd: 0.000 0.000 0.000
Th: 0.500 0.500 0.500
Sn: 0.250 0.250 0.250
Sn: 0.750 0.750 0.750

(2)
Computed, not measured: an optimized crystal structure of GdThSn2 at the PBE-GGA level of DFT.

Computed properties:
VASP energy   -7.98 eV/atom
Calculated formation energy   -2.4 eV per formula unit
Volume   27.846 Å³ per atom

a = 3.514 Å, b = 3.514 Å, c = 9.018 Å
α = 90.00°, β = 90.00°, γ = 90.00°
Positions (direct):
Gd: 0.000 0.000 0.000
Th: 0.000 0.000 0.500
Sn: 0.500 0.500 0.245
Sn: 0.500 0.500 0.755

Quick rundown of relative energy among the computed polymorphs, same order as above: 119; 0 meV/atom